(1)
9
Lattice="6.8469 0.0000 0.0000 -3.4234 5.9296 0.0000 0.0000 0.0000 3.8466" Properties=species:S:1:pos:R:3 comment="GGA-PBEsol CeZnNi, optimized geometry" m_tot_mub_per_fu=0.0 e_form_ev_per_atom=-0.361 e_tot_ev_per_atom=-5.14 space_group=P-62m pbc="T T T"
Ce -1.4287 2.4745 0.0000
Ce 2.8574 0.0000 0.0000
Ce 1.9948 3.4550 0.0000
Zn -2.6203 4.5384 1.9233
Zn 0.8032 1.3911 1.9233
Zn 5.2405 0.0000 1.9233
Ni 0.0000 0.0000 0.0000
Ni 0.0000 3.9531 1.9233
Ni 3.4234 1.9765 1.9233

***

(2)
5
Lattice="4.3545 0.0000 0.0000 0.0000 4.3545 0.0000 0.0000 0.0000 5.5524" Properties=species:S:1:pos:R:3 comment="GGA-PBEsol CsNbIO2, optimized geometry" m_tot_mub_per_fu=0.0 raw_formation_energy_ev_per_atom=-1.134 e_tot_ev_per_atom=-5.94 space_group=P4/mmm pbc="T T T"
Cs 0.0000 0.0000 0.0000
Nb 2.1773 2.1773 2.7762
I 2.1773 2.1773 0.0000
O 0.0000 2.1773 2.7762
O 2.1773 0.0000 2.7762

***

(3)
5
Lattice="4.9667 0.0000 0.0000 0.0000 4.9667 0.0000 0.0000 0.0000 4.9667" Properties=species:S:1:pos:R:3 comment="GGA-PBEsol ScNbSe3, optimized geometry" m_tot_mub_per_fu=2.1 raw_formation_energy_ev_per_atom=0.008 e_tot_ev_per_atom=-5.79 space_group=Pm-3m pbc="T T T"
Sc 0.0000 0.0000 0.0000
Nb 2.4833 2.4833 2.4833
Se 0.0000 0.0000 2.4833
Se 0.0000 2.4833 0.0000
Se 2.4833 0.0000 0.0000

***

(4)
4
Lattice="4.2615 0.0000 0.0000 0.0000 4.2615 0.0000 0.0000 0.0000 2.7363" Properties=species:S:1:pos:R:3 comment="GGA-PBEsol Cr2AgP, optimized geometry" m_tot_mub_per_fu=0.0 e_form_ev_per_atom=0.357 e_tot_ev_per_atom=-7.04 space_group=P4/mmm pbc="T T T"
Cr 0.0000 2.1307 0.0000
Cr 2.1307 0.0000 0.0000
Ag 0.0000 0.0000 1.3681
P 2.1307 2.1307 1.3681

***

(5)
48
Lattice="5.1720 0.0000 0.0000 0.0000 10.2947 0.0000 0.0000 0.0000 8.9631" Properties=species:S:1:pos:R:3 comment="GGA-PBEsol LiTa3N4, optimized geometry" m_tot_mub_per_fu=0.0 raw_formation_energy_ev_per_atom=-1.384 e_tot_ev_per_atom=-10.60 space_group=Pnn2 pbc="T T T"
Li 0.0000 0.0000 0.0000
Li 0.0000 0.0000 2.8301
Li 0.0000 5.1474 8.7746
Li 2.5860 0.0000 4.2931
Li 2.5860 5.1474 4.4815
Li 2.5860 5.1474 7.3117
Ta 0.0000 0.0000 5.7178
Ta 0.0000 5.1474 2.8923
Ta 0.0000 5.1474 5.9819
Ta 0.8300 2.5477 1.3661
Ta 0.8626 2.5791 7.3762
Ta 0.8820 2.5514 4.3476
Ta 1.7040 7.6988 8.8291
Ta 1.7234 7.7265 2.8946
Ta 1.7560 7.6951 5.8476
Ta 2.5860 0.0000 1.5003
Ta 2.5860 0.0000 7.3738
Ta 2.5860 5.1474 1.2363
Ta 3.4160 2.5996 5.8476
Ta 3.4485 2.5683 2.8946
Ta 3.4680 2.5959 8.8291
Ta 4.2900 7.7433 4.3476
Ta 4.3094 7.7157 7.3762
Ta 4.3420 7.7470 1.3661
N 0.8523 6.3823 4.3825
N 0.8561 6.4007 7.3352
N 0.8593 9.0430 4.3693
N 0.8600 9.0591 7.3316
N 0.8635 6.3780 1.3686
N 0.9094 9.0310 1.3851
N 1.6766 3.8837 5.8666
N 1.7225 1.2306 5.8502
N 1.7299 1.2534 2.8537
N 1.7267 3.8956 8.8508
N 1.7260 3.9118 2.8501
N 1.7337 1.2349 8.8641
N 3.4383 9.0598 8.8641
N 3.4460 6.3830 2.8501
N 3.4453 6.3991 8.8508
N 3.4421 9.0414 2.8537
N 3.4494 9.0641 5.8502
N 3.4954 6.4111 5.8666
N 4.2626 1.2637 1.3851
N 4.3085 3.9168 1.3686
N 4.3120 1.2356 7.3316
N 4.3127 1.2517 4.3693
N 4.3159 3.8940 7.3352
N 4.3197 3.9124 4.3825

***

(6)
3
Lattice="0.0000 2.3110 6.5977 1.5493 0.0000 6.5977 1.5493 2.3110 0.0000" Properties=species:S:1:pos:R:3 comment="GGA-PBEsol MgAgRh, optimized geometry" m_tot_mub_per_fu=0.0 e_form_ev_per_atom=0.002 e_tot_ev_per_atom=-4.39 space_group=Fmm2 pbc="T T T"
Mg 0.0000 0.0000 0.0000
Ag 1.5493 2.3110 4.2878
Rh 1.5493 2.3110 8.6211

***

(7)
5
Lattice="4.0734 0.0000 0.0000 0.0000 4.0734 0.0000 0.0000 0.0000 5.0215" Properties=species:S:1:pos:R:3 comment="GGA-PBEsol Pt2CClF, optimized geometry" m_tot_mub_per_fu=0.7 raw_formation_energy_ev_per_atom=2.043 e_tot_ev_per_atom=-3.46 space_group=P4/mmm pbc="T T T"
Pt 0.0000 2.0367 0.0000
Pt 2.0367 0.0000 0.0000
C 0.0000 0.0000 2.5107
Cl 2.0367 2.0367 2.5107
F 2.0367 2.0367 0.0000

***

(8)
4
Lattice="4.1480 -1.3294 0.0000 4.1480 1.3294 0.0000 -0.3736 0.0000 4.7994" Properties=species:S:1:pos:R:3 comment="GGA-PBEsol LiReRu2, optimized geometry" m_tot_mub_per_fu=0.0 e_form_ev_per_atom=0.254 e_tot_ev_per_atom=-8.66 space_group=C2/m pbc="T T T"
Li 0.0000 0.0000 0.0000
Re 3.9612 0.0000 2.3997
Ru 1.7738 0.0000 3.6615
Ru 6.1486 0.0000 1.1378

***

(9)
4
Lattice="0.0000 3.1963 3.1963 3.1963 0.0000 3.1963 3.1963 3.1963 0.0000" Properties=species:S:1:pos:R:3 comment="GGA-PBEsol TlMo2Os, optimized geometry" m_tot_mub_per_fu=0.0 e_form_ev_per_atom=0.789 e_tot_ev_per_atom=-8.81 space_group=Fm-3m pbc="T T T"
Tl 0.0000 0.0000 0.0000
Mo 1.5982 1.5982 1.5982
Mo 4.7945 4.7945 4.7945
Os 3.1963 3.1963 3.1963

***

(10)
5
Lattice="4.4084 0.0000 0.0000 0.0000 4.4084 0.0000 0.0000 0.0000 4.1308" Properties=species:S:1:pos:R:3 comment="GGA-PBEsol MnBeBiRu2, optimized geometry" m_tot_mub_per_fu=0.0 e_form_ev_per_atom=0.881 e_tot_ev_per_atom=-6.80 space_group=P4/mmm pbc="T T T"
Mn 0.0000 0.0000 0.0000
Be 0.0000 0.0000 2.0654
Bi 2.2042 2.2042 2.0654
Ru 0.0000 2.2042 0.0000
Ru 2.2042 0.0000 0.0000

***

(11)
10
Lattice="7.0012 0.0000 0.0000 0.0000 7.0012 0.0000 0.0000 0.0000 3.1836" Properties=species:S:1:pos:R:3 comment="GGA-PBEsol Li2GaAu2, optimized geometry" m_tot_mub_per_fu=0.0 e_form_ev_per_atom=-0.410 e_tot_ev_per_atom=-3.43 space_group=P4/mbm pbc="T T T"
Li 1.0550 2.4456 0.0000
Li 2.4456 5.9462 0.0000
Li 4.5556 1.0550 0.0000
Li 5.9462 4.5556 0.0000
Ga 0.0000 0.0000 1.5918
Ga 3.5006 3.5006 1.5918
Au 1.0373 4.5379 1.5918
Au 2.4632 1.0373 1.5918
Au 4.5379 5.9638 1.5918
Au 5.9638 2.4632 1.5918

***

(12)
4
Lattice="2.5248 0.0000 0.0000 0.0000 3.4914 0.0000 0.0000 0.0000 5.0548" Properties=species:S:1:pos:R:3 comment="GGA-PBEsol Mn2FeRh, optimized geometry" m_tot_mub_per_fu=1.1 e_form_ev_per_atom=0.031 e_tot_ev_per_atom=-9.13 space_group=Pmmm pbc="T T T"
Mn 0.0000 0.0000 1.1532
Mn 0.0000 0.0000 3.9016
Fe 1.2624 1.7457 0.0000
Rh 1.2624 1.7457 2.5274